(1)
PBE Sm2HoAl, relaxed; E_form = -0.15 eV/atom; calculated density = 7.1 g/cm³; energy relative to the lowest polymorph listed for this composition = 21.7 meV/atom; uncorrected energy = -4.5921 eV/atom; crystal system = tetragonal
1.0
-0.5013 0.1909 3.4975
-3.4269 -0.7580 -0.4498
1.8892 -8.9927 0.7616
Ho Sm Al
1 2 1
Direct
0.5000 0.5000 0.5000
0.0000 0.0000 0.7837
0.0000 0.0000 0.2163
0.5000 0.5000 0.0000

---

(2)
PBE Sm3Ho3Al2, relaxed; E_form = -0.10 eV/atom; calculated density = 7.2 g/cm³; uncorrected energy = -4.5255 eV/atom; crystal system = orthorhombic
1.0
-4.6832 2.2012 -0.3146
-0.1562 -6.2003 1.6583
0.8461 3.8899 14.6240
Sm Ho Al
6 6 4
Direct
0.4575 0.9150 0.2500
0.3507 0.7015 0.5248
0.6493 0.2985 0.4752
0.5425 0.0850 0.7500
0.3507 0.7015 0.9752
0.6493 0.2985 0.0248
0.0375 0.0750 0.6058
0.2587 0.5174 0.7500
0.9625 0.9250 0.1058
0.7413 0.4826 0.2500
0.9625 0.9250 0.3942
0.0375 0.0750 0.8942
0.7859 0.5717 0.8464
0.7859 0.5717 0.6536
0.2141 0.4283 0.1536
0.2141 0.4283 0.3464

---

(3)
PBE Sm4Ho5Al, relaxed; E_form = 0.09 eV/atom; calculated density = 7.5 g/cm³; energy relative to the lowest polymorph listed for this composition = 151.5 meV/atom; uncorrected energy = -4.4626 eV/atom; crystal system = tetragonal
1.0
-0.7485 -5.1849 2.1957
6.5302 -2.3310 4.0687
-3.1871 0.4680 7.3658
Ho Al Sm
5 1 4
Direct
0.1462 0.6359 0.0000
0.7821 0.0000 0.3641
0.1462 0.0000 0.6359
0.6565 0.0000 0.0000
0.7821 0.3641 0.0000
0.1721 0.0000 0.0000
0.4562 0.6886 0.3114
0.4562 0.3114 0.6886
0.1448 0.3114 0.3114
0.7677 0.6886 0.6886

---

(4)
PBE Sm2Ho5Al4, relaxed; E_form = 0.33 eV/atom; calculated density = 6.4 g/cm³; uncorrected energy = -3.9736 eV/atom; crystal system = orthorhombic
1.0
3.3581 0.0000 0.0000
0.0000 6.8838 0.0000
-1.6791 -3.4419 13.7679
Sm Ho Al
2 5 4
Direct
0.0963 0.0963 0.1926
0.9037 0.9037 0.8074
0.1943 0.4544 0.3885
0.1943 0.9342 0.3885
0.8057 0.0658 0.6115
0.8057 0.5456 0.6115
0.5000 0.0000 0.0000
0.0000 0.3264 0.0000
0.0000 0.6736 0.0000
0.6141 0.6141 0.2282
0.3859 0.3859 0.7718

---

(5)
PBE SmHoAl2, relaxed; E_form = -0.14 eV/atom; calculated density = 5.9 g/cm³; energy relative to the lowest polymorph listed for this composition = 242.9 meV/atom; uncorrected energy = -4.3404 eV/atom; crystal system = trigonal
1.0
-2.9013 -1.9529 0.9140
0.2898 -3.5783 0.4223
1.1295 -0.6254 9.3972
Al Sm Ho
2 1 1
Direct
0.2516 0.2516 0.2451
0.7484 0.7484 0.7549
0.5000 0.5000 0.5000
0.0000 0.0000 0.0000

---

(6)
PBE Sm2HoAl4, relaxed; E_form = 0.40 eV/atom; calculated density = 4.5 g/cm³; uncorrected energy = -3.7373 eV/atom; crystal system = tetragonal
1.0
5.2039 0.0000 0.0000
0.0000 5.2039 0.0000
-2.6019 -2.6019 7.8472
Al Ho Sm
4 1 2
Direct
0.5000 0.0000 0.0000
0.1805 0.1805 0.3610
0.0000 0.5000 0.0000
0.8195 0.8195 0.6390
0.0000 0.0000 0.0000
0.6204 0.6204 0.2408
0.3796 0.3796 0.7592

---

(7)
PBE Sm8HoAl2, relaxed; E_form = 0.00 eV/atom; calculated density = 6.8 g/cm³; uncorrected energy = -4.5247 eV/atom; crystal system = monoclinic
1.0
5.6907 -0.3291 -0.4940
-1.3931 8.5458 -0.6341
-1.3931 -3.8766 7.6424
Sm Al Ho
8 2 1
Direct
0.2944 0.5943 0.5943
0.8887 0.6764 0.9123
0.1113 0.3236 0.0877
0.5000 0.7761 0.2239
0.5000 0.2239 0.7761
0.8887 0.9123 0.6764
0.1113 0.0877 0.3236
0.7056 0.4057 0.4057
0.0000 0.3073 0.6927
0.0000 0.6927 0.3073
0.5000 0.0000 0.0000

---

(8)
PBE Sm4HoAl4, relaxed; E_form = -0.16 eV/atom; calculated density = 6.2 g/cm³; uncorrected energy = -4.4258 eV/atom; crystal system = tetragonal
1.0
-1.6566 0.9616 -5.6668
-7.8278 -3.7714 1.6484
-3.3078 7.8721 2.3028
Al Sm Ho
8 8 2
Direct
0.1043 0.6897 0.5919
0.6043 0.9081 0.1897
0.8957 0.5919 0.3103
0.3957 0.1897 0.0919
0.1043 0.3103 0.4081
0.8957 0.4081 0.6897
0.3957 0.8103 0.9081
0.6043 0.0919 0.8103
0.3769 0.5736 0.1707
0.8769 0.3293 0.0736
0.1231 0.0736 0.6707
0.6231 0.1707 0.4264
0.8769 0.6707 0.9264
0.3769 0.4264 0.8293
0.1231 0.9264 0.3293
0.6231 0.8293 0.5736
0.5000 0.5000 0.5000
0.0000 0.0000 0.0000

---

no.,D(E_F) (states/eV/f.u.)
1,4.014
2,8.577
3,13.827
4,12.061
5,1.798
6,10.143
7,15.136
8,7.821